Entry from the Alexandria database: MgMn3Cu2O8 after structural relaxation (GGA+U).

Results
Its crystal system is cubic. As for the raw total energy: -6.562 eV per atom. The density of states at the Fermi level comes out at 0.143 states/eV/atom.

Cell: 8.426 8.426 8.426 Å, 90.00 90.00 90.00°
Space group P4_332 (No. 212)
Symmetry-distinct sites (fractional):
Mg  0.125  0.125  0.125
Mn  0.123  0.873  0.875
Cu  0.003  0.997  0.497
O  0.106  0.878  0.110
O  0.114  0.386  0.614

=====

Entry from the Alexandria database: Mg6MnCuO8 after structural relaxation (GGA+U).

Results
Its crystal system is tetragonal. As for the raw total energy: -6.090 eV per atom. The density of states at the Fermi level comes out at 0.082 states/eV/atom.

Cell: 4.268 4.268 8.646 Å, 90.00 90.00 90.00°
Space group P4/mmm (No. 123)
Symmetry-distinct sites (fractional):
Mg  0.000  0.000  0.000
Mg  0.000  0.000  0.500
Mg  0.000  0.500  0.244
Mn  0.500  0.500  0.500
Cu  0.500  0.500  0.000
O  0.000  0.000  0.250
O  0.000  0.500  0.000
O  0.000  0.500  0.500
O  0.500  0.500  0.254